(1)
# ZnGa3Tc | the Alexandria database | PBE-GGA | relaxed
data_ZnGa3Tc
_chemical_formula_sum 'Zn1 Ga3 Tc1'
_cell_length_a 4.7097
_cell_length_b 4.7097
_cell_length_c 4.7097
_cell_angle_alpha 90.00
_cell_angle_beta 90.00
_cell_angle_gamma 90.00
_space_group_name_H-M_alt 'P m -3 m'
_space_group_IT_number 221
_space_group_name_Hall '-P 4 2 3'
loop_
_atom_site_label
_atom_site_type_symbol
_atom_site_fract_x
_atom_site_fract_y
_atom_site_fract_z
Zn1 Zn 0.0000 0.0000 0.0000
Ga1 Ga 0.0000 0.0000 0.5000
Tc1 Tc 0.5000 0.5000 0.5000
# formation energy from the elements: 4.72 eV/f.u.
# distance to the lowest polymorph of the same formula: 0.969 eV per atom



(2)
# Pm10ThSc4 | the Alexandria database | PBE-GGA | relaxed
data_Pm10ThSc4
_chemical_formula_sum 'Pm20 Th2 Sc8'
_cell_length_a 11.5439
_cell_length_b 11.5439
_cell_length_c 7.6002
_cell_angle_alpha 90.00
_cell_angle_beta 90.00
_cell_angle_gamma 90.00
_space_group_name_H-M_alt 'I 4/m'
_space_group_IT_number 87
_space_group_name_Hall '-I 4'
loop_
_atom_site_label
_atom_site_type_symbol
_atom_site_fract_x
_atom_site_fract_y
_atom_site_fract_z
Pm1 Pm 0.0000 0.5000 0.2500
Pm2 Pm 0.1134 0.2441 0.2123
Th1 Th 0.0000 0.0000 0.0000
Sc1 Sc 0.0690 0.7998 0.5000
# formation energy from the elements: 8.34 eV/f.u.



(3)
# CaMnTe2 | the Alexandria database | PBE-GGA | relaxed
data_CaMnTe2
_chemical_formula_sum 'Ca4 Mn4 Te8'
_cell_length_a 7.6459
_cell_length_b 7.6459
_cell_length_c 7.3828
_cell_angle_alpha 90.00
_cell_angle_beta 90.00
_cell_angle_gamma 90.00
_space_group_name_H-M_alt 'I -4 2 d'
_space_group_IT_number 122
_space_group_name_Hall 'I -4 2bw'
loop_
_atom_site_label
_atom_site_type_symbol
_atom_site_fract_x
_atom_site_fract_y
_atom_site_fract_z
Ca1 Ca 0.0000 0.0000 0.0000
Mn1 Mn 0.0000 0.0000 0.5000
Te1 Te 0.1694 0.7500 0.6250
# distance to the lowest polymorph of the same formula: 0.501 eV per atom
# raw formation energy: -0.325 eV/atom



(4)
# Ac3Tb2NdSe6 | the Alexandria database | PBE-GGA | relaxed
data_Ac3Tb2NdSe6
_chemical_formula_sum 'Ac6 Tb4 Nd2 Se12'
_cell_length_a 7.3321
_cell_length_b 12.7426
_cell_length_c 7.6371
_cell_angle_alpha 90.00
_cell_angle_beta 108.79
_cell_angle_gamma 90.00
_space_group_name_H-M_alt 'C 1 2/m 1'
_space_group_IT_number 12
loop_
_space_group_symop_operation_xyz
'x,y,z'
'-x,-y,-z'
'-x,y,-z'
'x,-y,z'
'x+1/2,y+1/2,z'
'-x+1/2,-y+1/2,-z'
'-x+1/2,y+1/2,-z'
'x+1/2,-y+1/2,z'
loop_
_atom_site_label
_atom_site_type_symbol
_atom_site_fract_x
_atom_site_fract_y
_atom_site_fract_z
Ac1 Ac 0.0000 0.0000 0.0000
Ac2 Ac 0.0000 0.3367 0.0000
Tb1 Tb 0.0000 0.1667 0.5000
Nd1 Nd 0.0000 0.5000 0.5000
Se1 Se 0.2334 0.0000 0.7236
Se2 Se 0.2461 0.3295 0.7271
# raw formation energy: -1.824 eV/atom



(5)
# NaNdPN2 | the Alexandria database | PBE-GGA | relaxed
data_NaNdPN2
_chemical_formula_sum 'Na2 Nd2 P2 N4'
_cell_length_a 5.5904
_cell_length_b 4.2958
_cell_length_c 6.6116
_cell_angle_alpha 90.00
_cell_angle_beta 103.80
_cell_angle_gamma 90.00
_space_group_name_H-M_alt 'P 1 2/c 1'
_space_group_IT_number 13
loop_
_space_group_symop_operation_xyz
'x,y,z'
'-x,-y,-z'
'-x,y,-z+1/2'
'x,-y,z+1/2'
loop_
_atom_site_label
_atom_site_type_symbol
_atom_site_fract_x
_atom_site_fract_y
_atom_site_fract_z
Na1 Na 0.0000 0.0191 0.2500
Nd1 Nd 0.5000 0.2787 0.7500
P1 P 0.0000 0.5000 0.0000
N1 N 0.2651 0.2711 0.0384
# raw formation energy: -0.225 eV/atom



(6)
# SrAl3Bi | the Alexandria database | PBE-GGA | relaxed
data_SrAl3Bi
_chemical_formula_sum 'Sr1 Al3 Bi1'
_cell_length_a 5.5918
_cell_length_b 5.5918
_cell_length_c 5.5918
_cell_angle_alpha 90.00
_cell_angle_beta 90.00
_cell_angle_gamma 90.00
_space_group_name_H-M_alt 'P m -3 m'
_space_group_IT_number 221
_space_group_name_Hall '-P 4 2 3'
loop_
_atom_site_label
_atom_site_type_symbol
_atom_site_fract_x
_atom_site_fract_y
_atom_site_fract_z
Sr1 Sr 0.0000 0.0000 0.0000
Al1 Al 0.0000 0.5000 0.5000
Bi1 Bi 0.5000 0.5000 0.5000
# formation energy from the elements: 2.95 eV/f.u.
# distance to the lowest polymorph of the same formula: 0.000 eV per atom



(7)
# MgRe2Te | the Alexandria database | PBE-GGA | relaxed
data_MgRe2Te
_chemical_formula_sum 'Mg1 Re2 Te1'
_cell_length_a 3.2495
_cell_length_b 3.2495
_cell_length_c 6.4060
_cell_angle_alpha 90.00
_cell_angle_beta 90.00
_cell_angle_gamma 90.00
_space_group_name_H-M_alt 'P 4/m m m'
_space_group_IT_number 123
_space_group_name_Hall '-P 4 2'
loop_
_atom_site_label
_atom_site_type_symbol
_atom_site_fract_x
_atom_site_fract_y
_atom_site_fract_z
Mg1 Mg 0.0000 0.0000 0.0000
Re1 Re 0.5000 0.5000 0.2587
Te1 Te 0.0000 0.0000 0.5000
# distance to the lowest polymorph of the same formula: 0.561 eV per atom
# raw formation energy: 0.773 eV/atom



(8)
# Si2AgCl | the Alexandria database | PBE-GGA | relaxed
data_Si2AgCl
_chemical_formula_sum 'Si2 Ag1 Cl1'
_cell_length_a 3.4277
_cell_length_b 3.4277
_cell_length_c 6.9979
_cell_angle_alpha 90.00
_cell_angle_beta 90.00
_cell_angle_gamma 90.00
_space_group_name_H-M_alt 'P 4 m m'
_space_group_IT_number 99
loop_
_space_group_symop_operation_xyz
'x,y,z'
'-y,x,z'
'-x,-y,z'
'y,-x,z'
'-x,y,z'
'y,x,z'
'x,-y,z'
'-y,-x,z'
loop_
_atom_site_label
_atom_site_type_symbol
_atom_site_fract_x
_atom_site_fract_y
_atom_site_fract_z
Si1 Si 0.0000 0.0000 0.0000
Si2 Si 0.5000 0.5000 0.0831
Ag1 Ag 0.5000 0.5000 0.4279
Cl1 Cl 0.0000 0.0000 0.6789
# distance to the lowest polymorph of the same formula: 0.024 eV per atom
# raw formation energy: 0.048 eV/atom



no.,calculated total energy (eV/atom)
1,-3.20
2,-4.79
3,-4.69
4,-5.76
5,-5.85
6,-2.77
7,-6.64
8,-3.84